# YNi5 | the Alexandria database | PBE | optimized geometry
# Formation enthalpy at 0 K ... -312 meV/atom
# Total magnetic moment ... 0.000 μB/f.u.
data_YNi5
_chemical_formula_sum 'Y1 Ni5'
_cell_length_a 4.8948
_cell_length_b 4.8948
_cell_length_c 3.9391
_cell_angle_alpha 90.00
_cell_angle_beta 90.00
_cell_angle_gamma 120.00
_space_group_name_H-M_alt 'P 6/m m m'
_space_group_IT_number 191
_space_group_name_Hall '-P 6 2'
loop_
_atom_site_label
_atom_site_type_symbol
_atom_site_fract_x
_atom_site_fract_y
_atom_site_fract_z
Y1 Y 0.0000 0.0000 0.0000
Ni1 Ni 0.0000 0.5000 0.5000
Ni2 Ni 0.3333 0.6667 0.0000

=====

# Y5Ni3 | the Alexandria database | PBE | optimized geometry
# Formation enthalpy at 0 K ... -117 meV/atom
# Total magnetic moment ... 0.000 μB/f.u.
data_Y5Ni3
_chemical_formula_sum 'Y10 Ni6'
_cell_length_a 7.655
_cell_length_b 10.446
_cell_length_c 4.610
_cell_angle_alpha 90.00
_cell_angle_beta 90.00
_cell_angle_gamma 90.00
_space_group_name_H-M_alt 'C m m m'
_space_group_IT_number 65
_space_group_name_Hall '-C 2 2'
loop_
_atom_site_label
_atom_site_type_symbol
_atom_site_fract_x
_atom_site_fract_y
_atom_site_fract_z
Y1 Y 0.000 0.000 0.000
Y2 Y 0.205 0.500 0.500
Y3 Y 0.250 0.250 0.000
Ni1 Ni 0.000 0.178 0.500
Ni2 Ni 0.000 0.500 0.000

=====

# YNi4 | the Alexandria database | PBE | optimized geometry
# Formation enthalpy at 0 K ... -197 meV/atom
# Total magnetic moment ... 1.105 μB/f.u.
data_YNi4
_chemical_formula_sum 'Y4 Ni16'
_cell_length_a 5.957
_cell_length_b 9.423
_cell_length_c 5.230
_cell_angle_alpha 90.00
_cell_angle_beta 90.00
_cell_angle_gamma 90.00
_space_group_name_H-M_alt 'C m c m'
_space_group_IT_number 63
_space_group_name_Hall '-C 2c 2'
loop_
_atom_site_label
_atom_site_type_symbol
_atom_site_fract_x
_atom_site_fract_y
_atom_site_fract_z
Y1 Y 0.000 0.235 0.250
Ni1 Ni 0.000 0.087 0.750
Ni2 Ni 0.000 0.329 0.750
Ni3 Ni 0.200 0.500 0.000